No. 1
Compound: PaMn2MoO8
Source: Alexandria via LeMat-Bulk
Functional: GGA+U
Structure: relaxed

Output
Uncorrected energy   -189.32 eV/cell
Magnetic moment   9.0 μB/f.u.

Unit cell a=6.6563 b=6.6563 c=7.0974 alpha=90.00 beta=90.00 gamma=90.00
With the nearest neighbours (Å) after each atom.
Space group I-4m2 (No. 119)
Symmetry-distinct sites (fractional):
Pa (0.0000, 0.0000, 0.0000) [2 per cell]  4 O 2.11
Mn (0.0000, 0.0000, 0.5000) [2 per cell]  4 O 2.00
Mn (0.0000, 0.5000, 0.7500) [2 per cell]  4 O 1.92
Mo (0.0000, 0.5000, 0.2500) [2 per cell]  4 O 1.90
O (0.0000, 0.2208, 0.3087) [8 per cell]  1 Mo 1.90, 1 Mn 2.00
O (0.0000, 0.3126, 0.9547) [8 per cell]  1 Mn 1.92, 1 Pa 2.11

***

No. 2
Compound: Pa2MnMoO8
Source: Alexandria via LeMat-Bulk
Functional: GGA+U
Structure: relaxed

Output
Uncorrected energy   -207.33 eV/cell
Magnetic moment   3.0 μB/f.u.

Unit cell a=5.2334 b=5.2334 c=10.6073 alpha=90.00 beta=90.00 gamma=90.00
With the nearest neighbours (Å) after each atom.
Space group I-4m2 (No. 119)
Symmetry-distinct sites (fractional):
Pa (0.0000, 0.0000, 0.0000) [2 per cell]  8 O 2.29
Pa (0.0000, 0.5000, 0.2500) [2 per cell]  8 O 2.29
Mn (0.0000, 0.0000, 0.5000) [2 per cell]  8 O 2.31
Mo (0.0000, 0.5000, 0.7500) [2 per cell]  8 O 2.22
O (0.2426, 0.2532, 0.8713) [16 per cell]  1 Mo 2.22, 2 Pa 2.29, 1 Mn 2.31

***

No. 3
Compound: PaMnMoO6
Source: Alexandria via LeMat-Bulk
Functional: GGA+U
Structure: relaxed

Output
Uncorrected energy   -149.06 eV/cell
Magnetic moment   6.0 μB/f.u.

Unit cell a=5.5349 b=5.5349 c=9.0907 alpha=90.00 beta=90.00 gamma=120.00
With the nearest neighbours (Å) after each atom.
Space group P-31c (No. 163)
Symmetry-distinct sites (fractional):
Pa (0.3333, 0.6667, 0.2500) [2 per cell]  6 O 2.19
Mn (0.0000, 0.0000, 0.0000) [2 per cell]  6 O 2.27
Mo (0.3333, 0.6667, 0.7500) [2 per cell]  6 O 2.02
O (0.0231, 0.3593, 0.6321) [12 per cell]  1 Mo 2.02, 1 Pa 2.19

***

No. 4
Compound: MnMoPbO6
Source: Alexandria via LeMat-Bulk
Functional: GGA+U
Structure: relaxed

Output
Uncorrected energy   -120.16 eV/cell
Magnetic moment   5.0 μB/f.u.

Unit cell a=4.7384 b=4.7384 c=9.9019 alpha=90.00 beta=90.00 gamma=90.00
With the nearest neighbours (Å) after each atom.
Space group P4_2nm (No. 102)
Symmetry-distinct sites (fractional):
Mn (0.0000, 0.0000, 0.0000) [2 per cell]  6 O 1.98-2.12
Mo (0.0000, 0.0000, 0.3352) [2 per cell]  6 O 1.94-2.07
Pb (0.0000, 0.0000, 0.6689) [2 per cell]  6 O 2.14-2.24
O (0.1815, 0.1815, 0.1748) [4 per cell]  1 Mo 2.00, 1 Mn 2.12, 1 Pb 2.14
O (0.2048, 0.2048, 0.4914) [4 per cell]  1 Mn 1.98, 1 Mo 2.07
O (0.2109, 0.2109, 0.8440) [4 per cell]  1 Mo 1.94, 1 Mn 2.09

***

No. 5
Compound: PmMn2MoO6
Source: Alexandria via LeMat-Bulk
Functional: GGA+U
Structure: relaxed

Output
Uncorrected energy   -76.01 eV/cell
Magnetic moment   9.0 μB/f.u.

Unit cell a=5.3554 b=5.4296 c=5.7675 alpha=91.10 beta=116.71 gamma=119.02
With the nearest neighbours (Å) after each atom.
Space group P1 (No. 1)
Symmetry-distinct sites (fractional):
Pm (0.0000, 0.0000, 0.0000) [1 per cell]  6 O 2.27-2.52
Mn (0.5437, 0.2759, 0.8032) [1 per cell]  3 O 2.10-2.13
Mn (0.5880, 0.7975, 0.3736) [1 per cell]  6 O 1.98-2.09
Mo (0.9595, 0.4716, 0.4305) [1 per cell]  6 O 2.02-2.19
O (0.0578, 0.1916, 0.6215) [1 per cell]  1 Mo 2.03, 2 Mn 2.09-2.11
O (0.0980, 0.4516, 0.1605) [1 per cell]  1 Mo 2.02, 1 Mn 2.04
O (0.4576, 0.8816, 0.6228) [1 per cell]  2 Mn 1.99-2.10, 1 Mo 2.19
O (0.5105, 0.0646, 0.1586) [1 per cell]  1 Mn 2.00, 1 Mo 2.11
O (0.7250, 0.6572, 0.1627) [1 per cell]  1 Mn 1.98, 1 Mo 2.13
O (0.7654, 0.5856, 0.6241) [1 per cell]  2 Mn 2.05-2.13, 1 Mo 2.09

***

No. 6
Compound: PmMnMoO6
Source: Alexandria via LeMat-Bulk
Functional: GGA+U
Structure: relaxed

Output
Uncorrected energy   -134.90 eV/cell
Magnetic moment   4.0 μB/f.u.

Unit cell a=4.9753 b=4.9753 c=9.5910 alpha=90.00 beta=90.00 gamma=90.00
With the nearest neighbours (Å) after each atom.
Space group P4_2nm (No. 102)
Symmetry-distinct sites (fractional):
Pm (0.0000, 0.0000, 0.0000) [2 per cell]  6 O 2.28-2.41
Mn (0.0000, 0.0000, 0.3318) [2 per cell]  4 O 1.95-2.13
Mo (0.0000, 0.0000, 0.6643) [2 per cell]  6 O 1.85-2.05
O (0.1708, 0.1708, 0.4913) [4 per cell]  1 Mn 1.95, 1 Mo 2.05
O (0.1946, 0.1946, 0.7937) [4 per cell]  1 Mo 1.85
O (0.2163, 0.2163, 0.1766) [4 per cell]  1 Mo 2.00, 1 Mn 2.13

***

No. 7
Compound: Rb2MnMoO6
Source: Alexandria via LeMat-Bulk
Functional: GGA+U
Structure: relaxed

Output
Uncorrected energy   -61.51 eV/cell
Magnetic moment   3.0 μB/f.u.

Unit cell a=6.2671 b=6.2671 c=5.1434 alpha=90.00 beta=90.00 gamma=120.00
With the nearest neighbours (Å) after each atom.
Space group P-3m1 (No. 164)
Symmetry-distinct sites (fractional):
Rb (0.3333, 0.6667, 0.2019) [2 per cell]  12 O 3.16-3.54
Mn (0.0000, 0.0000, 0.0000) [1 per cell]  6 O 1.96
Mo (0.0000, 0.0000, 0.5000) [1 per cell]  6 O 1.96
O (0.1361, 0.2723, 0.7496) [6 per cell]  1 Mo 1.96, 1 Mn 1.96

***

No. 8
Compound: RbMnMoO6
Source: Alexandria via LeMat-Bulk
Functional: GGA+U
Structure: relaxed

Output
Uncorrected energy   -57.69 eV/cell
Magnetic moment   2.0 μB/f.u.

Unit cell a=5.1747 b=5.1771 c=6.3594 alpha=89.91 beta=89.87 gamma=60.03
With the nearest neighbours (Å) after each atom.
Space group P1 (No. 1)
Symmetry-distinct sites (fractional):
Rb (0.0000, 0.0000, 0.0000) [1 per cell]  6 O 2.94-2.96
Mn (0.6668, 0.6670, 0.5238) [1 per cell]  6 O 1.89-1.95
Mo (0.3337, 0.3333, 0.4890) [1 per cell]  6 O 1.88-2.01
O (0.0018, 0.4241, 0.6935) [1 per cell]  1 Mn 1.89, 1 Mo 2.01
O (0.3897, 0.9929, 0.3430) [1 per cell]  1 Mo 1.88, 1 Mn 1.95
O (0.4240, 0.5737, 0.6937) [1 per cell]  1 Mn 1.89, 1 Mo 2.01
O (0.5736, 0.0022, 0.6936) [1 per cell]  1 Mn 1.89, 1 Mo 2.01
O (0.6190, 0.3894, 0.3432) [1 per cell]  1 Mo 1.88, 1 Mn 1.95
O (0.9933, 0.6187, 0.3432) [1 per cell]  1 Mo 1.88, 1 Mn 1.95

***

No. 9
Compound: MnMoRh2O
Source: Alexandria via LeMat-Bulk
Functional: GGA+U
Structure: relaxed

Output
Uncorrected energy   -33.81 eV/cell
Magnetic moment   2.2 μB/f.u.

Unit cell a=4.2830 b=4.2830 c=4.0750 alpha=90.00 beta=90.00 gamma=90.00
With the nearest neighbours (Å) after each atom.
Space group P4/mmm (No. 123)
Symmetry-distinct sites (fractional):
Mn (0.0000, 0.0000, 0.0000) [1 per cell]  8 Rh 2.96, 4 Mo 3.03
Mo (0.5000, 0.5000, 0.0000) [1 per cell]  2 O 2.04
Rh (0.0000, 0.5000, 0.5000) [2 per cell]  2 O 2.14
O (0.5000, 0.5000, 0.5000) [1 per cell]  2 Mo 2.04, 4 Rh 2.14

***

No. 10
Compound: MnMoS2O
Source: Alexandria via LeMat-Bulk
Functional: GGA+U
Structure: relaxed

Output
Uncorrected energy   -30.12 eV/cell
Magnetic moment   7.0 μB/f.u.

Unit cell a=4.9536 b=4.9536 c=3.8117 alpha=90.00 beta=90.00 gamma=90.00
With the nearest neighbours (Å) after each atom.
Space group P4/mmm (No. 123)
Symmetry-distinct sites (fractional):
Mn (0.0000, 0.0000, 0.0000) [1 per cell]  8 S 3.13
Mo (0.5000, 0.5000, 0.5000) [1 per cell]  2 O 1.91
S (0.0000, 0.5000, 0.5000) [2 per cell]  2 Mo 2.48
O (0.5000, 0.5000, 0.0000) [1 per cell]  2 Mo 1.91

***

No. 11
Compound: MnSbMoO2
Source: Alexandria via LeMat-Bulk
Functional: GGA+U
Structure: relaxed

Output
Uncorrected energy   -30.72 eV/cell
Magnetic moment   4.0 μB/f.u.

Unit cell a=3.8807 b=3.8807 c=6.2363 alpha=90.00 beta=90.00 gamma=90.00
With the nearest neighbours (Å) after each atom.
Space group P4/mmm (No. 123)
Symmetry-distinct sites (fractional):
Mn (0.0000, 0.0000, 0.0000) [1 per cell]  4 Sb 2.74
Sb (0.5000, 0.5000, 0.0000) [1 per cell]  4 Mn 2.74
Mo (0.0000, 0.0000, 0.5000) [1 per cell]  4 O 1.94
O (0.0000, 0.5000, 0.5000) [2 per cell]  2 Mo 1.94

***

No. 12
Compound: Sc2MnMoO8
Source: Alexandria via LeMat-Bulk
Functional: GGA+U
Structure: relaxed

Output
Uncorrected energy   -188.02 eV/cell
Magnetic moment   3.0 μB/f.u.

Unit cell a=6.5935 b=6.8895 c=6.1497 alpha=90.00 beta=90.00 gamma=90.00
With the nearest neighbours (Å) after each atom.
Space group Cmmm (No. 65)
Symmetry-distinct sites (fractional):
Sc (0.0000, 0.0000, 0.2420) [4 per cell]  6 O 2.04-2.19
Mn (0.0000, 0.5000, 0.0000) [2 per cell]  6 O 1.90-2.01
Mo (0.0000, 0.5000, 0.5000) [2 per cell]  6 O 1.93-1.96
O (0.0000, 0.3179, 0.2550) [8 per cell]  1 Mo 1.96, 1 Mn 2.01, 1 Sc 2.19
O (0.2076, 0.0000, 0.5000) [4 per cell]  1 Mo 1.93, 2 Sc 2.10
O (0.2119, 0.0000, 0.0000) [4 per cell]  1 Mn 1.90, 2 Sc 2.04

***

No. 13
Compound: MnMoSeO2
Source: Alexandria via LeMat-Bulk
Functional: GGA+U
Structure: relaxed

Output
Uncorrected energy   -31.51 eV/cell
Magnetic moment   5.0 μB/f.u.

Unit cell a=3.8115 b=3.8115 c=6.4524 alpha=90.00 beta=90.00 gamma=90.00
With the nearest neighbours (Å) after each atom.
Space group P4/mmm (No. 123)
Symmetry-distinct sites (fractional):
Mn (0.0000, 0.0000, 0.0000) [1 per cell]  4 Se 2.70
Mo (0.0000, 0.0000, 0.5000) [1 per cell]  4 O 1.91
Se (0.5000, 0.5000, 0.0000) [1 per cell]  4 Mn 2.70
O (0.0000, 0.5000, 0.5000) [2 per cell]  2 Mo 1.91

***

No. 14
Compound: Sr3Mn2MoO8
Source: Alexandria via LeMat-Bulk
Functional: GGA+U
Structure: relaxed

Output
Uncorrected energy   -95.94 eV/cell
Magnetic moment   10.0 μB/f.u.

Unit cell a=5.6921 b=5.6921 c=7.4829 alpha=90.00 beta=90.00 gamma=120.00
With the nearest neighbours (Å) after each atom.
Space group P-3m1 (No. 164)
Symmetry-distinct sites (fractional):
Sr (0.0000, 0.0000, 0.0000) [1 per cell]  12 O 3.03-3.32
Sr (0.3333, 0.6667, 0.6316) [2 per cell]  1 O 2.26
Mn (0.3333, 0.6667, 0.1871) [2 per cell]  4 O 1.90-2.09
Mo (0.0000, 0.0000, 0.5000) [1 per cell]  6 O 1.95
O (0.1595, 0.3189, 0.3467) [6 per cell]  1 Mo 1.95, 1 Mn 2.09
O (0.3333, 0.6667, 0.9336) [2 per cell]  1 Mn 1.90

***

No. 15
Compound: SrMnMoO6
Source: Alexandria via LeMat-Bulk
Functional: GGA+U
Structure: relaxed

Output
Uncorrected energy   -122.47 eV/cell
Magnetic moment   3.0 μB/f.u.

Unit cell a=4.9151 b=4.9151 c=9.5448 alpha=90.00 beta=90.00 gamma=90.00
With the nearest neighbours (Å) after each atom.
Space group P4_2nm (No. 102)
Symmetry-distinct sites (fractional):
Sr (0.0000, 0.0000, 0.0000) [2 per cell]  6 O 2.35-2.51
Mn (0.0000, 0.0000, 0.3293) [2 per cell]  6 O 1.92-2.04
Mo (0.0000, 0.0000, 0.6662) [2 per cell]  6 O 1.92-2.01
O (0.1628, 0.1628, 0.4923) [4 per cell]  1 Mn 1.92, 1 Mo 2.01
O (0.2209, 0.2209, 0.7915) [4 per cell]  1 Mo 1.95, 1 Mn 1.97
O (0.2256, 0.2256, 0.1919) [4 per cell]  1 Mo 1.92, 1 Mn 2.04

***

No. 16
Compound: TaMnMoO6
Source: Alexandria via LeMat-Bulk
Functional: GGA+U
Structure: relaxed

Output
Uncorrected energy   -150.88 eV/cell
Magnetic moment   6.0 μB/f.u.

Unit cell a=4.7760 b=4.7760 c=9.5349 alpha=90.00 beta=90.00 gamma=90.00
With the nearest neighbours (Å) after each atom.
Space group P4_2nm (No. 102)
Symmetry-distinct sites (fractional):
Ta (0.0000, 0.0000, 0.0000) [2 per cell]  6 O 1.98-2.07
Mn (0.0000, 0.0000, 0.6626) [2 per cell]  6 O 2.12-2.25
Mo (0.0000, 0.0000, 0.3292) [2 per cell]  6 O 1.95-2.04
O (0.1865, 0.1865, 0.1610) [4 per cell]  1 Ta 1.99, 1 Mo 2.04, 1 Mn 2.12
O (0.2082, 0.2082, 0.4847) [4 per cell]  1 Ta 1.98, 1 Mo 2.04, 1 Mn 2.20
O (0.2127, 0.2127, 0.8438) [4 per cell]  1 Mo 1.95, 1 Ta 2.07

***

No. 17
Compound: MnTeMoO6
Source: Alexandria via LeMat-Bulk
Functional: GGA+U
Structure: relaxed

Output
Energy relative to the lowest polymorph listed for this composition   0 meV/atom
Uncorrected energy   -121.26 eV/cell
Magnetic moment   5.0 μB/f.u.

Unit cell a=5.1839 b=5.4018 c=9.3432 alpha=90.00 beta=90.00 gamma=90.00
With the nearest neighbours (Å) after each atom.
Space group P2_12_12 (No. 18)
Symmetry-distinct sites (fractional):
Mn (0.0000, 0.0000, 0.0263) [2 per cell]  6 O 2.16-2.34
Te (0.0000, 0.5000, 0.2434) [2 per cell]  2 O 1.92
Mo (0.0000, 0.5000, 0.6939) [2 per cell]  4 O 1.74-1.90
O (0.1608, 0.2944, 0.5819) [4 per cell]  1 Mo 1.74
O (0.2129, 0.6726, 0.1087) [4 per cell]  1 Te 1.92
O (0.2461, 0.1850, 0.2063) [4 per cell]  1 Mo 1.90

***

No. 18
Compound: MnTeMoO6
Source: Alexandria via LeMat-Bulk
Functional: GGA+U
Structure: relaxed

Output
Energy relative to the lowest polymorph listed for this composition   125 meV/atom
Uncorrected energy   -119.01 eV/cell
Magnetic moment   5.0 μB/f.u.

Unit cell a=5.3931 b=5.3931 c=9.2071 alpha=90.00 beta=90.00 gamma=120.00
With the nearest neighbours (Å) after each atom.
Space group P-31c (No. 163)
Symmetry-distinct sites (fractional):
Mn (0.0000, 0.0000, 0.0000) [2 per cell]  6 O 2.26
Te (0.3333, 0.6667, 0.2500) [2 per cell]  6 O 2.14
Mo (0.3333, 0.6667, 0.7500) [2 per cell]  6 O 1.97
O (0.0245, 0.3632, 0.6338) [12 per cell]  1 Mo 1.97, 1 Te 2.14

***

No. 19
Compound: ThMn2MoO8
Source: Alexandria via LeMat-Bulk
Functional: GGA+U
Structure: relaxed

Output
Uncorrected energy   -186.21 eV/cell
Magnetic moment   8.0 μB/f.u.

Unit cell a=6.5502 b=6.7619 c=6.7717 alpha=90.00 beta=90.00 gamma=90.00
With the nearest neighbours (Å) after each atom.
Space group Cmmm (No. 65)
Symmetry-distinct sites (fractional):
Th (0.0000, 0.0000, 0.0000) [2 per cell]  6 O 2.18-2.34
Mn (0.0000, 0.5000, 0.2648) [4 per cell]  6 O 1.96-2.16
Mo (0.0000, 0.0000, 0.5000) [2 per cell]  6 O 1.95-1.97
O (0.0000, 0.2881, 0.5000) [4 per cell]  1 Mo 1.95, 2 Mn 2.14
O (0.0000, 0.3224, 0.0000) [4 per cell]  2 Mn 2.16, 1 Th 2.18, 1 O 2.40
O (0.2022, 0.0000, 0.2850) [8 per cell]  1 Mn 1.96, 1 Mo 1.97

***

No. 20
Compound: TiMnMoO6
Source: Alexandria via LeMat-Bulk
Functional: GGA+U
Structure: relaxed

Output
Uncorrected energy   -141.63 eV/cell
Magnetic moment   5.0 μB/f.u.

Unit cell a=4.6172 b=4.6172 c=9.3571 alpha=90.00 beta=90.00 gamma=90.00
With the nearest neighbours (Å) after each atom.
Space group P4_2nm (No. 102)
Symmetry-distinct sites (fractional):
Ti (0.0000, 0.0000, 0.0000) [2 per cell]  6 O 1.94-2.03
Mn (0.0000, 0.0000, 0.6623) [2 per cell]  6 O 1.97-2.10
Mo (0.0000, 0.0000, 0.3295) [2 per cell]  6 O 1.93-2.06
O (0.1979, 0.1979, 0.1584) [4 per cell]  1 Ti 1.97, 1 Mn 1.97, 1 Mo 2.06
O (0.2027, 0.2027, 0.4883) [4 per cell]  1 Ti 1.94, 1 Mo 1.99, 1 Mn 2.10
O (0.2039, 0.2039, 0.8362) [4 per cell]  1 Mo 1.93, 1 Ti 2.03, 1 Mn 2.10